A plane-wave DFT calculation with meta-GGA SCAN was carried out for Mn2PBr at its PBEsol-relaxed geometry.

Values from the calculation:
- Space-group type: Fm-3m, No. 225
- Energy above the lowest structure with this stoichiometry: 589 meV/atom
- Electronic total energy: -16.389 eV per atom
- ΔE_f (raw): 0.203 eV/atom

Cell lengths 4.3045, 4.3045, 4.3045 Å; angles 60.00, 60.00, 60.00 degrees
Site moments in Bohr magnetons follow the coordinates.
Atoms (fractional coordinates):
P: 0.5000 0.5000 0.5000  -0.23
Br: 0.0000 0.0000 0.0000  -0.07
Mn: 0.7500 0.7500 0.7500  3.31
Mn: 0.2500 0.2500 0.2500  3.31

A plane-wave DFT calculation with meta-GGA SCAN was carried out for Sc5Ni at its PBEsol-relaxed geometry.

Values from the calculation:
- Space-group type: C2/m, No. 12
- Energy above the lowest structure with this stoichiometry: 0 meV/atom
- Formation energy from the elements: -82 kJ/mol of formula units
- Electronic total energy: -14.701 eV per atom

Cell lengths 3.2793, 5.6996, 7.4851 Å; angles 110.62, 90.00, 106.72 degrees
Site moments in Bohr magnetons follow the coordinates.
Atoms (fractional coordinates):
Sc: 0.8321 0.6641 0.2063  0.12
Sc: 0.1346 0.2692 0.3691  -0.07
Sc: 0.1679 0.3359 0.7937  0.12
Sc: 0.8654 0.7308 0.6309  -0.07
Sc: 0.5000 0.0000 0.0000  0.37
Ni: 0.5000 0.0000 0.5000  0.03

Which value of electronic total energy does entry 1 give? -16.389 eV per atom